Record 1
Rb2BiF6 | PBE-GGA | optimized geometry

Cell: 6.463 6.463 6.463 Å, 60.00 60.00 60.00°
Positions (direct):
1 Rb 0.250 0.250 0.250
2 Rb 0.750 0.750 0.750
3 F 0.236 0.236 0.764
4 F 0.764 0.236 0.236
5 F 0.236 0.764 0.236
6 F 0.236 0.764 0.764
7 F 0.764 0.764 0.236
8 F 0.764 0.236 0.764
9 Bi 0.000 0.000 0.000

Properties
The space group is Fm-3m, No. 225. For the polymorph energy (0 for the lowest one), the calculation gives 42 meV/atom. The volume comes out at 21.2 Å³/atom. The calculation puts the density at 4.30 g/cm3.

***

Record 2
MnPbSe2Br | PBE-GGA | optimized geometry

Cell: 5.021 5.021 5.043 Å, 90.00 90.00 90.00°
Positions (direct):
1 Br 0.000 0.000 0.500
2 Se 0.000 0.500 0.000
3 Se 0.500 0.000 0.000
4 Mn 0.000 0.000 0.000
5 Pb 0.500 0.500 0.500

Properties
The space group is P4/mmm, No. 123. For the polymorph energy (0 for the lowest one), the calculation gives 0 meV/atom. The volume comes out at 25.4 Å³/atom. The calculation puts the density at 6.53 g/cm3.

***

Record 3
Ti2CdHgBi | PBE-GGA | optimized geometry

Cell: 5.160 5.151 5.160 Å, 90.00 90.00 90.00°
Positions (direct):
1 Ti 0.000 0.000 0.500
2 Ti 0.500 0.000 0.000
3 Cd 0.000 0.500 0.000
4 Bi 0.500 0.500 0.500
5 Hg 0.000 0.000 0.000

Properties
The space group is P4/mmm, No. 123. The calculation puts the formation energy at 0.74 eV/atom. The volume comes out at 27.4 Å³/atom. The calculation puts the density at 7.48 g/cm3.

***

Record 4
CuHg2Ru | PBE-GGA | optimized geometry

Cell: 9.233 9.233 9.233 Å, 18.52 18.52 18.52°
Positions (direct):
1 Hg 0.002 0.002 0.002
2 Hg 0.498 0.498 0.498
3 Ru 0.250 0.250 0.250
4 Cu 0.750 0.750 0.750

Properties
The space group is R-3m, No. 166. For the polymorph energy (0 for the lowest one), the calculation gives 75 meV/atom. The calculation puts the formation energy at 0.46 eV/atom. The volume comes out at 17.3 Å³/atom. The calculation puts the density at 13.55 g/cm3.

***

Record 5
CaSbP | PBE-GGA | optimized geometry

Cell: 4.866 4.866 4.866 Å, 60.00 60.00 60.00°
Positions (direct):
1 Sb 0.000 0.000 0.000
2 P 0.750 0.750 0.750
3 Ca 0.500 0.500 0.500

Properties
The space group is F-43m, No. 216. For the polymorph energy (0 for the lowest one), the calculation gives 270 meV/atom. The volume comes out at 27.2 Å³/atom. The calculation puts the density at 3.93 g/cm3.

***

Record 6
CeSnSe2 | PBE-GGA | optimized geometry

Cell: 4.152 4.152 9.220 Å, 76.99 76.99 60.00°
Positions (direct):
1 Sn 0.500 0.500 0.500
2 Se 0.103 0.103 0.691
3 Se 0.897 0.897 0.309
4 Ce 0.000 0.000 0.000

Properties
The space group is R-3m, No. 166. For the polymorph energy (0 for the lowest one), the calculation gives 529 meV/atom. The volume comes out at 33.2 Å³/atom. The calculation puts the density at 5.21 g/cm3.

***

Record 7
AlB2Ru5W2 | PBE-GGA | optimized geometry

Cell: 2.911 9.310 9.310 Å, 90.00 90.00 90.00°
Positions (direct):
1 B 0.000 0.875 0.375
2 B 0.000 0.125 0.625
3 B 0.000 0.375 0.125
4 B 0.000 0.625 0.875
5 Ru 0.500 0.784 0.933
6 Ru 0.500 0.433 0.284
7 Ru 0.500 0.500 0.000
8 Ru 0.500 0.716 0.433
9 Ru 0.500 0.567 0.716
10 Ru 0.500 0.000 0.500
11 Ru 0.500 0.284 0.567
12 Ru 0.500 0.933 0.216
13 Ru 0.500 0.067 0.784
14 Ru 0.500 0.216 0.067
15 W 0.000 0.821 0.679
16 W 0.000 0.179 0.321
17 W 0.000 0.321 0.821
18 W 0.000 0.679 0.179
19 Al 0.000 0.500 0.500
20 Al 0.000 0.000 0.000

Properties
The space group is P4/mbm, No. 127. The calculation puts the formation energy at -0.38 eV/atom. The volume comes out at 12.6 Å³/atom. The calculation puts the density at 12.13 g/cm3.

***

Record 8
NaSrAg2 | PBE-GGA | optimized geometry

Cell: 4.951 8.141 10.970 Å, 90.00 90.00 90.00°
Positions (direct):
1 Sr 0.750 0.318 0.327
2 Sr 0.250 0.682 0.673
3 Sr 0.750 0.818 0.173
4 Sr 0.250 0.182 0.827
5 Ag 0.750 0.196 0.035
6 Ag 0.250 0.094 0.140
7 Ag 0.250 0.804 0.965
8 Ag 0.250 0.304 0.535
9 Ag 0.750 0.696 0.465
10 Ag 0.750 0.406 0.640
11 Ag 0.750 0.906 0.860
12 Ag 0.250 0.594 0.360
13 Na 0.750 0.038 0.597
14 Na 0.250 0.462 0.097
15 Na 0.750 0.538 0.903
16 Na 0.250 0.962 0.403

Properties
The space group is Pnma, No. 62. The calculation puts the formation energy at -0.17 eV/atom. The volume comes out at 27.6 Å³/atom. The calculation puts the density at 4.90 g/cm3.

***

Record 9
SiRh2C2 | PBE-GGA | optimized geometry

Cell: 4.322 4.322 4.159 Å, 58.69 58.69 90.00°
Positions (direct):
1 C 0.624 0.624 0.751
2 C 0.376 0.376 0.249
3 Rh 0.750 0.250 0.500
4 Rh 0.250 0.750 0.500
5 Si 0.000 0.000 0.000

Properties
The space group is I4/mmm, No. 139. For the polymorph energy (0 for the lowest one), the calculation gives 0 meV/atom. The volume comes out at 10.5 Å³/atom. The calculation puts the density at 8.13 g/cm3.

***

Record 10
Pm2NdDy3Tm6 | PBE-GGA | optimized geometry

Cell: 6.147 6.147 11.675 Å, 95.02 95.02 119.96°
Positions (direct):
1 Tm 0.085 0.418 0.253
2 Tm 0.249 0.249 0.747
3 Tm 0.751 0.751 0.253
4 Tm 0.582 0.915 0.747
5 Tm 0.915 0.582 0.747
6 Tm 0.418 0.085 0.253
7 Nd 0.000 0.000 0.000
8 Pm 0.333 0.667 0.000
9 Pm 0.667 0.333 0.000
10 Dy 0.833 0.167 0.500
11 Dy 0.500 0.500 0.500
12 Dy 0.167 0.833 0.500

Properties
The space group is C2/m, No. 12. The calculation puts the formation energy at 0.02 eV/atom. The volume comes out at 31.4 Å³/atom. The calculation puts the density at 8.54 g/cm3.

***

Record 11
La2Tb3HoAs6 | PBE-GGA | optimized geometry

Cell: 4.217 8.430 9.420 Å, 102.95 102.93 90.00°
Positions (direct):
1 Tb 0.500 0.500 0.000
2 Tb 0.833 0.166 0.666
3 Tb 0.167 0.834 0.334
4 As 0.664 0.590 0.328
5 As 0.003 0.754 0.007
6 As 0.336 0.410 0.672
7 As 0.335 0.926 0.669
8 As 0.665 0.074 0.331
9 As 0.997 0.246 0.993
10 Ho 0.500 0.000 0.000
11 La 0.835 0.669 0.670
12 La 0.165 0.331 0.330

Properties
The space group is C2/m, No. 12. The calculation puts the formation energy at -1.53 eV/atom. The volume comes out at 26.5 Å³/atom. The calculation puts the density at 7.16 g/cm3.

***

Record 12
Dy4Tl2Pb | PBE-GGA | optimized geometry

Cell: 5.282 5.282 9.262 Å, 73.43 73.43 60.00°
Positions (direct):
1 Dy 0.126 0.126 0.623
2 Dy 0.379 0.379 0.862
3 Dy 0.621 0.621 0.138
4 Dy 0.874 0.874 0.377
5 Pb 0.000 0.000 0.000
6 Tl 0.243 0.243 0.272
7 Tl 0.757 0.757 0.728

Properties
The space group is R-3m, No. 166. For the polymorph energy (0 for the lowest one), the calculation gives 112 meV/atom. The calculation puts the formation energy at -0.23 eV/atom. The volume comes out at 30.2 Å³/atom. The calculation puts the density at 9.95 g/cm3.

***

Number 1: E_tot -4.3209 eV per atom. Number 2: E_tot -4.6052 eV per atom. Number 3: E_tot -3.4347 eV per atom. Number 4: E_tot -3.0303 eV per atom. Number 5: E_tot -4.1360 eV per atom. Number 6: E_tot -4.6777 eV per atom. Number 7: E_tot -9.3230 eV per atom. Number 8: E_tot -2.3428 eV per atom. Number 9: E_tot -7.1892 eV per atom. Number 10: E_tot -4.5539 eV per atom. Number 11: E_tot -6.2190 eV per atom. Number 12: E_tot -4.0635 eV per atom.